# PBE-GGA CePrThHg, optimized geometry
# - Total magnetic moment: 0.768 μB/f.u.
# - DOS(E_F): 2.19 states/eV/atom
# - ρ: 10.400 g/cm3
# - Formation energy: 0.032 eV/atom
data_CePrThHg
_space_group_name_H-M_alt 'F -4 3 m'
_space_group_IT_number 216
_space_group_name_Hall 'F -4 2 3'
_cell_length_a 7.696
_cell_length_b 7.696
_cell_length_c 7.696
_cell_angle_alpha 90.00
_cell_angle_beta 90.00
_cell_angle_gamma 90.00
loop_
_atom_site_label
_atom_site_type_symbol
_atom_site_fract_x
_atom_site_fract_y
_atom_site_fract_z
Ce1 Ce 0.000 0.000 0.000
Pr1 Pr 0.250 0.250 0.750
Th1 Th 0.250 0.250 0.250
Hg1 Hg 0.000 0.000 0.500